A plane-wave DFT calculation with GGA-PBE was carried out for crystalline TlCr2Fe at its relaxed geometry.

Output
Calculated volume: 125.5 Å³/cell
Density: 9.64 g/cm³
Space-group type: I-42d, No. 122
Electronic total energy: -6.615 eV per atom
ΔE_f: 20.845 kcal/mol of atoms

```
TlCr2Fe
1.0
-3.449 3.449 2.639
3.449 -3.449 2.639
3.449 3.449 -2.639
Tl Cr Fe
2 4 2
Direct
0.000 0.000 0.000
0.750 0.250 0.500
0.192 0.625 0.067
0.375 0.442 0.567
0.558 0.125 0.933
0.875 0.808 0.433
0.250 0.750 0.500
0.500 0.500 0.000
```


A plane-wave DFT calculation with GGA-PBE was carried out for crystalline TlCr2Fe at its relaxed geometry.

Output
Calculated volume: 61.0 Å³/cell
Density: 9.91 g/cm³
Space-group type: I-4m2, No. 119
Electronic total energy: -6.953 eV per atom
ΔE_f: 13.041 kcal/mol of atoms

```
TlCr2Fe
1.0
-2.006 2.006 3.793
2.006 -2.006 3.793
2.006 2.006 -3.793
Tl Cr Fe
1 2 1
Direct
0.000 0.000 0.000
0.250 0.750 0.500
0.500 0.500 0.000
0.750 0.250 0.500
```


A plane-wave DFT calculation with GGA-PBE was carried out for crystalline TlCr2Fe at its relaxed geometry.

Output
Calculated volume: 62.7 Å³/cell
Density: 9.65 g/cm³
Space-group type: F-43m, No. 216
Electronic total energy: -6.900 eV per atom
ΔE_f: 14.277 kcal/mol of atoms

```
TlCr2Fe
1.0
0.000 3.153 3.153
3.153 0.000 3.153
3.153 3.153 0.000
Tl Cr Fe
1 2 1
Direct
0.000 0.000 0.000
0.500 0.500 0.500
0.750 0.750 0.750
0.250 0.250 0.250
```


A plane-wave DFT calculation with GGA-PBE was carried out for crystalline TlCr2Fe at its relaxed geometry.

Output
Calculated volume: 56.6 Å³/cell
Density: 10.68 g/cm³
Space-group type: Immm, No. 71
Electronic total energy: -6.847 eV per atom
ΔE_f: 15.501 kcal/mol of atoms

```
TlCr2Fe
1.0
-1.650 2.048 4.191
1.650 -2.048 4.191
1.650 2.048 -4.191
Tl Cr Fe
1 2 1
Direct
0.000 0.000 0.000
0.262 0.762 0.500
0.738 0.238 0.500
0.500 0.500 0.000
```